HoTm2Cu4Ge4, relaxed, DFT PBE; symmetry = Immm (71); magnetization = 0.00 μB per formula unit; electronic total energy = -4.89 eV per atom
1.0
5.6506 3.5795 4.3019
-1.0708 1.4956 7.7372
0.5499 -5.2326 -5.9637
Cu Ge Ho Tm
4 4 1 2
direct
0.6402 0.3308 0.3093
0.9785 0.6692 0.3093
0.0215 0.3308 0.6907
0.3598 0.6691 0.6907
0.2164 0.2164 0.0000
0.7836 0.7836 0.0000
0.6919 0.5000 0.1919
0.3081 0.5000 0.8081
0.0000 0.0000 0.0000
0.6300 0.1300 0.5000
0.3700 0.8700 0.5000



Ho2TmCu4Ge4, relaxed, DFT PBE; symmetry = Immm (71); magnetization = 0.00 μB per formula unit; electronic total energy = -4.90 eV per atom
1.0
-4.3709 -6.3681 1.9369
-4.8206 0.1005 6.3372
2.0544 2.9328 -7.1125
Cu Ge Ho Tm
4 4 2 1
direct
0.6404 0.3309 0.3095
0.9786 0.6691 0.3095
0.0214 0.3309 0.6905
0.3596 0.6691 0.6905
0.2163 0.2163 0.0000
0.7837 0.7837 0.0000
0.6923 0.5000 0.1923
0.3077 0.5000 0.8077
0.6300 0.1300 0.5000
0.3700 0.8700 0.5000
0.0000 0.0000 0.0000



YHoCu2Ge2, relaxed, DFT PBE; symmetry = P3m1 (156); magnetization = 0.00 μB per formula unit; electronic total energy = -5.31 eV per atom
1.0
-4.1489 -0.7717 -0.4059
2.5886 -3.0312 1.4436
-1.1118 2.3421 6.9113
Cu Ge Ho Y
2 2 1 1
direct
0.6667 0.3333 0.4790
0.3333 0.6667 0.9781
0.6667 0.3333 0.0128
0.3333 0.6667 0.5139
0.0000 0.0000 0.7476
0.0000 0.0000 0.2476



Y2HoCu4Ge4, relaxed, DFT PBE; symmetry = Immm (71); magnetization = 0.00 μB per formula unit; electronic total energy = -5.26 eV per atom
1.0
0.3717 -2.7094 7.5227
-5.0522 2.6680 5.6060
1.2264 -3.7335 -6.9733
Cu Ge Ho Y
4 4 1 2
direct
0.6406 0.3309 0.3097
0.9788 0.6691 0.3097
0.3594 0.6691 0.6903
0.0212 0.3309 0.6903
0.2162 0.2162 0.0000
0.7838 0.7838 0.0000
0.6922 0.5000 0.1922
0.3078 0.5000 0.8078
0.0000 0.0000 0.0000
0.6300 0.1300 0.5000
0.3700 0.8700 0.5000



YHoCu2Ge4, relaxed, DFT PBE; symmetry = Amm2 (38); magnetization = 0.01 μB per formula unit; electronic total energy = -5.12 eV per atom
1.0
-3.5377 0.2677 -2.2997
-4.5542 2.0335 7.2424
-3.3595 5.6644 5.8272
Cu Ge Ho Y
2 4 1 1
direct
0.5000 0.3281 0.3281
0.0000 0.6721 0.6721
0.0000 0.2518 0.2518
0.5000 0.4630 0.4630
0.0000 0.5365 0.5365
0.5000 0.7489 0.7489
0.0000 0.8966 0.8966
0.5000 0.1030 0.1030



Nd4InCu2Ge4, relaxed, DFT PBE; symmetry = C2/m (12); magnetization = 0.01 μB per formula unit; electronic total energy = -5.02 eV per atom
1.0
-6.8915 -4.0651 2.2097
-6.1595 -5.2113 -1.9502
5.7900 -3.9987 2.1206
Cu Ge In Nd
2 4 1 4
direct
0.7856 0.7856 0.3585
0.2144 0.2144 0.6415
0.2036 0.2036 0.2652
0.9390 0.9390 0.3404
0.0610 0.0610 0.6595
0.7964 0.7964 0.7348
0.0000 0.0000 0.0000
0.3472 0.3472 0.0668
0.5919 0.5919 0.3847
0.4081 0.4081 0.6153
0.6528 0.6528 0.9332



InCuGePt, relaxed, DFT PBE; polymorph energy (0 for the lowest one) = 0.0 meV per atom; symmetry = F-43m (216); magnetization = 0.00 μB per formula unit; electronic total energy = -4.32 eV per atom
1.0
0.0000 3.2427 3.2427
3.2427 0.0000 3.2427
3.2427 3.2427 0.0000
Cu Ge In Pt
1 1 1 1
direct
0.7500 0.7500 0.7500
0.5000 0.5000 0.5000
0.0000 0.0000 0.0000
0.2500 0.2500 0.2500



InCu3GeS4, relaxed, DFT PBE; polymorph energy (0 for the lowest one) = 0.0 meV per atom; symmetry = P2_1/m (11); electronic total energy = -4.10 eV per atom
1.0
-0.6487 3.8542 -4.2411
-6.9449 0.7362 1.7313
2.4407 4.7971 7.7507
Cu Ge In S
6 2 2 8
direct
0.8083 0.5634 0.0340
0.8083 0.9366 0.0340
0.9612 0.7500 0.2914
0.0388 0.2500 0.7086
0.1917 0.0634 0.9660
0.1917 0.4366 0.9660
0.3901 0.7500 0.2159
0.6099 0.2500 0.7841
0.6473 0.2500 0.3937
0.3527 0.7500 0.6063
0.5287 0.2500 0.0062
0.1571 0.0049 0.2174
0.1571 0.4951 0.2174
0.6967 0.7500 0.4210
0.3033 0.2500 0.5790
0.8429 0.5049 0.7826
0.8429 0.9951 0.7826
0.4713 0.7500 0.9938